ZrAlHg2 after structural relaxation. Source: the Alexandria database, functional PBE.

a = 6.203 Å, b = 6.203 Å, c = 6.203 Å
α = 103.51°, β = 103.51°, γ = 122.18°
Fractional coordinates of all 8 atoms:
1 Zr 0.000 0.000 0.000
2 Zr 0.750 0.250 0.500
3 Al 0.250 0.750 0.500
4 Al 0.500 0.500 0.000
5 Hg 0.153 0.125 0.528
6 Hg 0.375 0.847 0.972
7 Hg 0.597 0.625 0.472
8 Hg 0.875 0.403 0.028

Properties
E_form = 0.0647 eV/atom
D(E_F) = 1.006 states/eV per atom

CaZn2GeRh after structural relaxation. Source: the Alexandria database, functional PBE.

a = 6.340 Å, b = 6.340 Å, c = 6.340 Å
α = 144.36°, β = 141.61°, γ = 53.39°
Fractional coordinates of all 5 atoms:
1 Ca 0.000 0.000 0.000
2 Zn 0.615 0.615 0.000
3 Zn 0.758 0.258 0.500
4 Ge 0.390 0.390 0.000
5 Rh 0.252 0.752 0.500

Properties
E_form = -0.4265 eV/atom
D(E_F) = 0.459 states/eV per atom

Ta3IrI after structural relaxation. Source: the Alexandria database, functional PBE.

a = 4.941 Å, b = 4.941 Å, c = 4.941 Å
α = 90.00°, β = 90.00°, γ = 90.00°
Fractional coordinates of all 5 atoms:
1 Ta 0.000 0.000 0.500
2 Ta 0.000 0.500 0.000
3 Ta 0.500 0.000 0.000
4 Ir 0.000 0.000 0.000
5 I 0.500 0.500 0.500

Properties
Formation energy from raw total energies = 5.9 eV/f.u.
Offset from the most stable computed form = 0.000 eV per atom
D(E_F) = 1.323 states/eV per atom

BaTa2Au after structural relaxation. Source: the Alexandria database, functional PBE.

a = 5.113 Å, b = 5.113 Å, c = 3.233 Å
α = 90.00°, β = 90.00°, γ = 90.00°
Fractional coordinates of all 4 atoms:
1 Ba 0.000 0.000 0.000
2 Ta 0.000 0.500 0.500
3 Ta 0.500 0.000 0.500
4 Au 0.500 0.500 0.000

Properties
E_form = 1.1281 eV/atom
Offset from the most stable computed form = 0.827 eV per atom
D(E_F) = 1.155 states/eV per atom

CaCe2Mg2In2 after structural relaxation. Source: the Alexandria database, functional PBE.

a = 9.638 Å, b = 9.638 Å, c = 9.638 Å
α = 29.36°, β = 29.36°, γ = 29.36°
Fractional coordinates of all 7 atoms:
1 Ca 0.000 0.000 0.000
2 Ce 0.143 0.143 0.143
3 Ce 0.857 0.857 0.857
4 Mg 0.412 0.412 0.412
5 Mg 0.588 0.588 0.588
6 In 0.264 0.264 0.264
7 In 0.736 0.736 0.736

Properties
E_form = -0.1692 eV/atom
D(E_F) = 1.673 states/eV per atom

Tb6Ce2SmY3 after structural relaxation. Source: the Alexandria database, functional PBE.

a = 6.170 Å, b = 6.170 Å, c = 11.810 Å
α = 95.00°, β = 95.00°, γ = 120.00°
Fractional coordinates of all 12 atoms:
1 Tb 0.080 0.417 0.751
2 Tb 0.247 0.247 0.249
3 Tb 0.417 0.080 0.751
4 Tb 0.583 0.920 0.249
5 Tb 0.753 0.753 0.751
6 Tb 0.920 0.583 0.249
7 Ce 0.167 0.833 0.000
8 Ce 0.833 0.167 0.000
9 Sm 0.500 0.500 0.000
10 Y 0.000 0.000 0.500
11 Y 0.334 0.666 0.500
12 Y 0.666 0.334 0.500

Properties
E_form = 0.0502 eV/atom
D(E_F) = 1.927 states/eV per atom

CsCoHgCl6 after structural relaxation. Source: the Alexandria database, functional PBE.

a = 6.645 Å, b = 6.645 Å, c = 7.597 Å
α = 90.00°, β = 90.00°, γ = 120.00°
Fractional coordinates of all 9 atoms:
1 Cs 0.000 0.000 0.000
2 Co 0.333 0.667 0.500
3 Hg 0.667 0.333 0.500
4 Cl 0.052 0.396 0.675
5 Cl 0.052 0.656 0.325
6 Cl 0.344 0.396 0.325
7 Cl 0.344 0.948 0.675
8 Cl 0.604 0.656 0.675
9 Cl 0.604 0.948 0.325

Properties
Formation energy from raw total energies = -8.0 eV/f.u.

AcDy4 after structural relaxation. Source: the Alexandria database, functional PBE.

a = 9.663 Å, b = 9.663 Å, c = 9.663 Å
α = 158.12°, β = 149.73°, γ = 37.66°
Fractional coordinates of all 5 atoms:
1 Ac 0.000 0.000 0.000
2 Dy 0.201 0.201 0.000
3 Dy 0.393 0.393 0.000
4 Dy 0.607 0.607 0.000
5 Dy 0.799 0.799 0.000

Properties
E_form = 0.0480 eV/atom
Offset from the most stable computed form = 0.000 eV per atom
D(E_F) = 1.501 states/eV per atom